Entry 1:
Density functional theory data (GGA-PBE) for a relaxed structure of K2ScB2S6.

Unit cell a=6.551 b=6.551 c=8.080 alpha=114.23 beta=114.23 gamma=58.87
Atoms (fractional coordinates):
1 K 0.204 0.204 0.185
2 K 0.796 0.796 0.815
3 Sc 0.000 0.000 0.500
4 B 0.427 0.427 0.709
5 B 0.573 0.573 0.291
6 S 0.237 0.712 0.241
7 S 0.255 0.255 0.653
8 S 0.288 0.763 0.759
9 S 0.712 0.237 0.241
10 S 0.745 0.745 0.347
11 S 0.763 0.288 0.759

The calculation puts the size of the total moment at 0.00 μB/f.u. For the calculated density, the calculation gives 2.139 g/cm³. The formation energy (no corrections) comes out at -913 meV per atom.

Entry 2:
Density functional theory data (GGA-PBE) for a relaxed structure of KB2Se6S2.

Unit cell a=6.200 b=7.511 c=7.783 alpha=79.98 beta=72.33 gamma=84.40
Atoms (fractional coordinates):
1 K 0.000 0.000 0.000
2 B 0.458 0.888 0.156
3 B 0.542 0.112 0.844
4 Se 0.216 0.704 0.341
5 Se 0.375 0.177 0.638
6 Se 0.396 0.164 0.104
7 Se 0.604 0.836 0.896
8 Se 0.625 0.823 0.362
9 Se 0.784 0.296 0.659
10 S 0.081 0.372 0.741
11 S 0.919 0.628 0.259

The calculation puts the size of the total moment at 0.00 μB/f.u. For the calculated density, the calculation gives 2.927 g/cm³. The formation energy (no corrections) comes out at -137 meV per atom.

Entry 3:
Density functional theory data (GGA-PBE) for a relaxed structure of KSi2BS6.

Unit cell a=8.917 b=8.917 c=6.379 alpha=108.62 beta=108.62 gamma=90.57
Atoms (fractional coordinates):
1 K 0.106 0.894 0.750
2 K 0.894 0.106 0.250
3 Si 0.206 0.379 0.842
4 Si 0.379 0.206 0.342
5 Si 0.621 0.794 0.658
6 Si 0.794 0.621 0.158
7 B 0.249 0.751 0.250
8 B 0.751 0.249 0.750
9 S 0.011 0.749 0.189
10 S 0.225 0.360 0.496
11 S 0.251 0.989 0.311
12 S 0.280 0.630 0.969
13 S 0.360 0.225 0.996
14 S 0.370 0.720 0.531
15 S 0.630 0.280 0.469
16 S 0.640 0.775 0.004
17 S 0.720 0.370 0.031
18 S 0.749 0.011 0.689
19 S 0.775 0.640 0.504
20 S 0.989 0.251 0.811

The calculation puts the size of the total moment at 0.00 μB/f.u. For the calculated density, the calculation gives 2.193 g/cm³. The formation energy (no corrections) comes out at -529 meV per atom.

Entry 4:
Density functional theory data (GGA-PBE) for a relaxed structure of K2SmB2S6.

Unit cell a=6.708 b=6.708 c=8.412 alpha=114.84 beta=114.84 gamma=59.36
Atoms (fractional coordinates):
1 K 0.201 0.201 0.188
2 K 0.799 0.799 0.812
3 Sm 0.000 0.000 0.500
4 B 0.441 0.441 0.726
5 B 0.559 0.559 0.274
6 S 0.233 0.697 0.222
7 S 0.267 0.267 0.647
8 S 0.303 0.767 0.778
9 S 0.697 0.233 0.222
10 S 0.733 0.733 0.353
11 S 0.767 0.303 0.778

The calculation puts the size of the total moment at 0.00 μB/f.u. For the calculated density, the calculation gives 2.578 g/cm³. The formation energy (no corrections) comes out at -960 meV per atom.

Entry 5:
Density functional theory data (GGA-PBE) for a relaxed structure of K2SnBS4.

Unit cell a=13.567 b=12.224 c=7.281 alpha=84.07 beta=63.66 gamma=32.26
Atoms (fractional coordinates):
1 K 0.059 0.059 0.691
2 K 0.309 0.309 0.941
3 K 0.691 0.691 0.059
4 K 0.941 0.941 0.309
5 Sn 0.125 0.125 0.125
6 Sn 0.875 0.875 0.875
7 B 0.375 0.375 0.375
8 B 0.625 0.625 0.625
9 S 0.059 0.596 0.513
10 S 0.333 0.513 0.596
11 S 0.404 0.941 0.667
12 S 0.487 0.667 0.941
13 S 0.513 0.333 0.059
14 S 0.596 0.059 0.333
15 S 0.667 0.487 0.404
16 S 0.941 0.404 0.487

The calculation puts the size of the total moment at 0.76 μB/f.u. For the calculated density, the calculation gives 2.348 g/cm³. The formation energy (no corrections) comes out at -612 meV per atom.

Entry 6:
Density functional theory data (GGA-PBE) for a relaxed structure of KBTe2S6.

Unit cell a=9.115 b=9.115 c=8.559 alpha=99.30 beta=99.30 gamma=125.36
Atoms (fractional coordinates):
1 K 0.086 0.914 0.750
2 K 0.914 0.086 0.250
3 B 0.243 0.757 0.250
4 B 0.757 0.243 0.750
5 Te 0.280 0.496 0.928
6 Te 0.496 0.280 0.428
7 Te 0.504 0.720 0.572
8 Te 0.720 0.504 0.072
9 S 0.050 0.705 0.063
10 S 0.189 0.567 0.355
11 S 0.295 0.950 0.437
12 S 0.307 0.322 0.555
13 S 0.322 0.307 0.055
14 S 0.433 0.811 0.145
15 S 0.567 0.189 0.855
16 S 0.678 0.693 0.945
17 S 0.693 0.678 0.445
18 S 0.705 0.050 0.563
19 S 0.811 0.433 0.645
20 S 0.950 0.295 0.937

The calculation puts the size of the total moment at 0.00 μB/f.u. For the calculated density, the calculation gives 3.044 g/cm³. The formation energy (no corrections) comes out at -223 meV per atom.

Entry 7:
Density functional theory data (GGA-PBE) for a relaxed structure of KB2Te2S6.

Unit cell a=6.285 b=7.139 c=9.169 alpha=77.25 beta=75.53 gamma=66.30
Atoms (fractional coordinates):
1 K 0.000 0.000 0.000
2 B 0.176 0.415 0.257
3 B 0.824 0.585 0.743
4 Te 0.430 0.464 0.706
5 Te 0.570 0.536 0.294
6 S 0.002 0.721 0.759
7 S 0.093 0.668 0.303
8 S 0.494 0.258 0.233
9 S 0.506 0.742 0.767
10 S 0.907 0.332 0.697
11 S 0.998 0.279 0.241

The calculation puts the size of the total moment at 0.00 μB/f.u. For the calculated density, the calculation gives 2.336 g/cm³. The formation energy (no corrections) comes out at -357 meV per atom.

Entry 8:
Density functional theory data (GGA-PBE) for a relaxed structure of K2B2TeS6.

Unit cell a=7.002 b=7.002 c=7.859 alpha=111.08 beta=111.08 gamma=55.66
Atoms (fractional coordinates):
1 K 0.188 0.188 0.195
2 K 0.812 0.812 0.805
3 B 0.470 0.470 0.711
4 B 0.530 0.530 0.289
5 Te 0.000 0.000 0.500
6 S 0.206 0.677 0.225
7 S 0.315 0.315 0.643
8 S 0.323 0.794 0.775
9 S 0.677 0.206 0.225
10 S 0.685 0.685 0.357
11 S 0.794 0.323 0.775

The calculation puts the size of the total moment at 0.03 μB/f.u. For the calculated density, the calculation gives 2.399 g/cm³. The formation energy (no corrections) comes out at -469 meV per atom.